1.
DFT (GGA-PBE) results for a relaxed structure of SmThTe.

a = 3.902 Å, b = 3.902 Å, c = 14.786 Å
α = 90.00°, β = 90.00°, γ = 120.00°
Fractional coordinates of all 6 atoms:
Sm 0.333 0.667 0.805
Te 0.000 0.000 0.346
Te 0.000 0.000 0.654
Sm 0.333 0.667 0.195
Th 0.000 0.000 0.000
Th 0.333 0.667 0.500

Total DFT energy (no corrections), eV/atom: -5.758
Space group: P-6m2
Distance to the lowest polymorph of the same formula, eV per atom: 0.092
V, Å³/cell: 195
ΔE_f (raw), meV per atom: -665

---

2.
DFT (GGA-PBE) results for a relaxed structure of SmThTe4.

a = 7.732 Å, b = 7.655 Å, c = 7.616 Å
α = 90.00°, β = 92.10°, γ = 90.00°
Fractional coordinates of all 12 atoms:
Te 0.870 0.130 0.370
Te 0.630 0.630 0.630
Te 0.130 0.870 0.630
Te 0.351 0.853 0.142
Sm 0.500 0.000 0.500
Te 0.851 0.647 0.142
Te 0.149 0.353 0.858
Th 0.000 0.000 0.000
Sm 0.000 0.500 0.500
Th 0.500 0.500 0.000
Te 0.649 0.147 0.858
Te 0.370 0.370 0.370

Total DFT energy (no corrections), eV/atom: -5.077
Space group: P2_1/c
Distance to the lowest polymorph of the same formula, eV per atom: 0.204
V, Å³/cell: 451
ΔE_f (raw), meV per atom: -959

---

3.
DFT (GGA-PBE) results for a relaxed structure of Sm2ThTe4.

a = 4.332 Å, b = 7.585 Å, c = 15.128 Å
α = 90.00°, β = 90.00°, γ = 106.59°
Fractional coordinates of all 14 atoms:
Te 0.779 0.558 0.126
Th 0.374 0.749 0.250
Te 0.500 0.000 0.500
Te 0.221 0.442 0.626
Te 0.034 0.068 0.250
Te 0.500 0.000 0.000
Th 0.626 0.251 0.750
Te 0.779 0.558 0.374
Sm 0.864 0.728 0.566
Te 0.221 0.442 0.874
Sm 0.136 0.272 0.066
Sm 0.136 0.272 0.434
Te 0.966 0.932 0.750
Sm 0.864 0.728 0.934

Total DFT energy (no corrections), eV/atom: -5.469
Space group: Cmcm
Distance to the lowest polymorph of the same formula, eV per atom: 0.067
V, Å³/cell: 476
ΔE_f (raw), meV per atom: -1265

---

4.
DFT (GGA-PBE) results for a relaxed structure of Sm2TmTh3Te6.

a = 4.287 Å, b = 9.179 Å, c = 10.192 Å
α = 109.53°, β = 102.14°, γ = 90.00°
Fractional coordinates of all 12 atoms:
Tm 0.500 0.000 0.000
Th 0.170 0.835 0.339
Te 0.332 0.421 0.664
Th 0.500 0.500 0.000
Te 0.000 0.762 0.999
Te 0.661 0.084 0.322
Sm 0.168 0.334 0.335
Th 0.830 0.165 0.661
Te 0.668 0.579 0.336
Sm 0.832 0.666 0.665
Te 0.000 0.238 0.001
Te 0.339 0.916 0.678

Total DFT energy (no corrections), eV/atom: -5.736
Space group: C2/m
V, Å³/cell: 368
ΔE_f (raw), meV per atom: -1151

---

5.
DFT (GGA-PBE) results for a relaxed structure of Sm3Tm2ThTe6.

a = 4.298 Å, b = 9.015 Å, c = 9.742 Å
α = 99.47°, β = 102.74°, γ = 90.00°
Fractional coordinates of all 12 atoms:
Tm 0.833 0.659 0.667
Te 0.990 0.741 0.980
Te 0.674 0.106 0.349
Te 0.010 0.259 0.020
Tm 0.167 0.341 0.333
Sm 0.848 0.155 0.695
Te 0.326 0.894 0.651
Sm 0.152 0.845 0.305
Te 0.670 0.588 0.339
Te 0.330 0.412 0.661
Th 0.500 0.000 0.000
Sm 0.500 0.500 0.000

Total DFT energy (no corrections), eV/atom: -5.361
Space group: C2/m
V, Å³/cell: 363
ΔE_f (raw), meV per atom: -1246

---

6.
DFT (GGA-PBE) results for a relaxed structure of Sm2Tm3ThTe6.

a = 4.270 Å, b = 8.983 Å, c = 9.990 Å
α = 107.10°, β = 102.34°, γ = 90.00°
Fractional coordinates of all 12 atoms:
Te 0.328 0.933 0.657
Tm 0.835 0.176 0.670
Th 0.500 0.000 0.000
Te 0.332 0.419 0.665
Sm 0.157 0.311 0.314
Te 0.006 0.740 0.012
Te 0.672 0.067 0.343
Sm 0.843 0.689 0.686
Tm 0.500 0.500 0.000
Tm 0.165 0.824 0.330
Te 0.994 0.260 0.988
Te 0.668 0.581 0.335

Total DFT energy (no corrections), eV/atom: -5.307
Space group: C2/m
V, Å³/cell: 357
ΔE_f (raw), meV per atom: -1213

---

7.
DFT (GGA-PBE) results for a relaxed structure of SmY2Th3Te6.

a = 4.291 Å, b = 9.158 Å, c = 10.189 Å
α = 109.60°, β = 102.16°, γ = 90.00°
Fractional coordinates of all 12 atoms:
Te 0.330 0.426 0.661
Te 0.004 0.248 0.008
Te 0.334 0.910 0.668
Te 0.670 0.574 0.339
Sm 0.500 0.000 0.000
Y 0.166 0.331 0.333
Te 0.996 0.752 0.992
Te 0.666 0.090 0.332
Th 0.164 0.829 0.329
Y 0.834 0.669 0.667
Th 0.500 0.500 0.000
Th 0.836 0.171 0.671

Total DFT energy (no corrections), eV/atom: -6.059
Space group: C2/m
V, Å³/cell: 368
ΔE_f (raw), meV per atom: -1162

---

8.
DFT (GGA-PBE) results for a relaxed structure of Sm2Y3ThTe6.

a = 4.371 Å, b = 8.899 Å, c = 9.919 Å
α = 104.29°, β = 102.73°, γ = 90.00°
Fractional coordinates of all 12 atoms:
Te 0.668 0.584 0.335
Y 0.165 0.832 0.330
Te 0.330 0.923 0.659
Sm 0.162 0.323 0.323
Te 0.670 0.077 0.341
Te 0.997 0.258 0.994
Th 0.500 0.000 0.000
Y 0.500 0.500 0.000
Sm 0.838 0.677 0.677
Te 0.003 0.742 0.006
Te 0.332 0.416 0.665
Y 0.835 0.168 0.670

Total DFT energy (no corrections), eV/atom: -5.870
Space group: C2/m
V, Å³/cell: 364
ΔE_f (raw), meV per atom: -1278

---

9.
DFT (GGA-PBE) results for a relaxed structure of Sm2YTh3Te6.

a = 4.326 Å, b = 9.137 Å, c = 10.195 Å
α = 109.08°, β = 102.25°, γ = 90.00°
Fractional coordinates of all 12 atoms:
Sm 0.167 0.334 0.334
Te 0.332 0.420 0.664
Th 0.500 0.500 0.000
Y 0.500 0.000 0.000
Th 0.168 0.835 0.337
Te 0.337 0.914 0.675
Te 0.668 0.580 0.336
Sm 0.833 0.666 0.666
Te 0.999 0.758 0.999
Th 0.832 0.165 0.663
Te 0.663 0.086 0.325
Te 0.001 0.242 0.001

Total DFT energy (no corrections), eV/atom: -5.924
Space group: C2/m
V, Å³/cell: 371
ΔE_f (raw), meV per atom: -1173

---

10.
DFT (GGA-PBE) results for a relaxed structure of SmTiTe.

a = 3.610 Å, b = 5.978 Å, c = 11.360 Å
α = 42.04°, β = 90.00°, γ = 107.57°
Fractional coordinates of all 6 atoms:
Ti 0.394 0.788 0.462
Te 0.211 0.423 0.255
Sm 0.040 0.081 0.128
Sm 0.960 0.919 0.872
Te 0.789 0.577 0.745
Ti 0.606 0.212 0.538

Total DFT energy (no corrections), eV/atom: -5.720
Space group: C2/m
V, Å³/cell: 147
ΔE_f (raw), meV per atom: -468

---

11.
DFT (GGA-PBE) results for a relaxed structure of Sm6Tl2Te.

a = 4.148 Å, b = 8.764 Å, c = 8.764 Å
α = 120.00°, β = 90.00°, γ = 90.00°
Fractional coordinates of all 9 atoms:
Te 0.500 0.000 0.000
Sm 0.000 0.725 0.725
Tl 0.000 0.333 0.667
Sm 0.500 0.394 0.394
Sm 0.000 0.275 0.000
Tl 0.000 0.667 0.333
Sm 0.500 0.606 0.000
Sm 0.500 0.000 0.606
Sm 0.000 0.000 0.275

Total DFT energy (no corrections), eV/atom: -4.491
Space group: P-62m
V, Å³/cell: 276
ΔE_f (raw), meV per atom: -470

---

12.
DFT (GGA-PBE) results for a relaxed structure of Sm5TlTe6.

a = 7.760 Å, b = 7.760 Å, c = 7.858 Å
α = 99.54°, β = 99.54°, γ = 119.91°
Fractional coordinates of all 12 atoms:
Te 0.258 0.258 0.753
Te 0.742 0.742 0.247
Te 0.086 0.428 0.258
Sm 0.158 0.842 0.500
Te 0.572 0.914 0.742
Te 0.914 0.572 0.742
Sm 0.500 0.500 0.500
Sm 0.842 0.158 0.500
Sm 0.667 0.333 0.000
Tl 0.000 0.000 0.000
Te 0.428 0.086 0.258
Sm 0.333 0.667 0.000

Total DFT energy (no corrections), eV/atom: -4.984
Space group: C2/m
V, Å³/cell: 387
ΔE_f (raw), meV per atom: -1250